Entry from Alexandria: a geometry-optimized PmMg2SbO6 structure (PBE-GGA).

abc: 5.780 5.780 5.780
angles: 55.93 55.93 55.93
Element x y z (fractional)
Pm 0.000 0.000 0.000
Mg 0.273 0.273 0.273
Mg 0.783 0.783 0.783
Sb 0.480 0.480 0.480
O 0.086 0.645 0.428
O 0.206 0.562 0.865
O 0.428 0.086 0.645
O 0.562 0.865 0.206
O 0.645 0.428 0.086
O 0.865 0.206 0.562

Computed properties:
Formation energy without anion corrections   -2460 meV/atom
Space-group type   R3 (146)
D(E_F)   0.00 states/eV per atom


Entry from Alexandria: a geometry-optimized Pr2NdErP4 structure (PBE-GGA).

abc: 7.164 4.141 7.165
angles: 90.00 109.46 90.00
Element x y z (fractional)
Pr 0.000 0.000 0.000
Pr 0.000 0.500 0.500
Nd 0.500 0.000 0.500
Er 0.500 0.500 0.000
P 0.256 0.500 0.247
P 0.260 0.000 0.759
P 0.740 0.000 0.241
P 0.744 0.500 0.753

Computed properties:
Formation energy from the elements   -12.25 eV per formula unit
Space-group type   P2/m (10)
D(E_F)   0.08 states/eV per atom


Entry from Alexandria: a geometry-optimized TaSbTe2I structure (PBE-GGA).

abc: 5.752 5.752 5.666
angles: 90.00 90.00 90.00
Element x y z (fractional)
Ta 0.000 0.000 0.000
Sb 0.500 0.500 0.500
Te 0.000 0.500 0.500
Te 0.500 0.000 0.500
I 0.500 0.500 0.000

Computed properties:
Energy above the lowest structure with this stoichiometry   5.80 eV/f.u.
Formation energy without anion corrections   1341 meV/atom
Space-group type   P4/mmm (123)
D(E_F)   1.40 states/eV per atom